Record 1
# ZrSi2Br, relaxed, DFT PBE
data_ZrSi2Br
_space_group_name_H-M_alt 'P 1 2/m 1'
_space_group_IT_number 10
_space_group_name_Hall '-P 2y'
_cell_length_a 3.7745
_cell_length_b 3.8403
_cell_length_c 5.3985
_cell_angle_alpha 90.00
_cell_angle_beta 90.38
_cell_angle_gamma 90.00
loop_
_atom_site_label
_atom_site_type_symbol
_atom_site_fract_x
_atom_site_fract_y
_atom_site_fract_z
_atom_site_occupancy
Zr1 Zr 0.0000 0.0000 0.0000 1
Si1 Si 0.4985 0.5000 0.7776 1
Br1 Br 0.0000 0.0000 0.5000 1
# ρ: 4.8 g cm⁻³
# VASP energy: -0.1950 hartree per atom
# Formation energy without anion corrections: -0.04 eV per atom
# DOS at the Fermi energy: 0.4871 states/eV per atom
# Excess energy over the best structure of this formula in the dataset: 32.6 kJ/mol of atoms
# Spin magnetization: 0.00 μB per cell

=====

Record 2
# Na2UMn2Te6, relaxed, DFT PBE
data_Na2UMn2Te6
_space_group_name_H-M_alt 'C 1 2/m 1'
_space_group_IT_number 12
_space_group_name_Hall '-C 2y'
_cell_length_a 7.1841
_cell_length_b 12.2091
_cell_length_c 8.0857
_cell_angle_alpha 90.00
_cell_angle_beta 106.69
_cell_angle_gamma 90.00
loop_
_atom_site_label
_atom_site_type_symbol
_atom_site_fract_x
_atom_site_fract_y
_atom_site_fract_z
_atom_site_occupancy
Na1 Na 0.0000 0.1580 0.0000 1
U1 U 0.0000 0.0000 0.5000 1
Mn1 Mn 0.0000 0.3307 0.5000 1
Te1 Te 0.2097 0.5000 0.7101 1
Te2 Te 0.2424 0.1768 0.7172 1
# ρ: 5.7 g cm⁻³
# VASP energy: -0.1896 hartree per atom
# Formation energy without anion corrections: -0.51 eV per atom
# DOS at the Fermi energy: 0.6602 states/eV per atom
# Spin magnetization: 20.01 μB per cell

=====

Record 3
# Mg6SnHg5, relaxed, DFT PBE
data_Mg6SnHg5
_space_group_name_H-M_alt 'C 1 2/m 1'
_space_group_IT_number 12
_space_group_name_Hall '-C 2y'
_cell_length_a 4.9428
_cell_length_b 15.0352
_cell_length_c 7.0544
_cell_angle_alpha 90.00
_cell_angle_beta 91.26
_cell_angle_gamma 90.00
loop_
_atom_site_label
_atom_site_type_symbol
_atom_site_fract_x
_atom_site_fract_y
_atom_site_fract_z
_atom_site_occupancy
Mg1 Mg 0.0006 0.0000 0.2593 1
Mg2 Mg 0.0008 0.3298 0.7462 1
Sn1 Sn 0.0000 0.5000 0.0000 1
Hg1 Hg 0.0000 0.1657 0.0000 1
Hg2 Hg 0.0000 0.1662 0.5000 1
Hg3 Hg 0.0000 0.5000 0.5000 1
# ρ: 8.0 g cm⁻³
# VASP energy: -0.0535 hartree per atom
# DOS at the Fermi energy: 0.3562 states/eV per atom
# Excess energy over the best structure of this formula in the dataset: 0.8 kJ/mol of atoms
# Spin magnetization: 0.00 μB per cell

=====

Record 4
# DyTeO4F, relaxed, DFT PBE
data_DyTeO4F
_space_group_name_H-M_alt 'C 1 2/m 1'
_space_group_IT_number 12
_space_group_name_Hall '-C 2y'
_cell_length_a 9.4030
_cell_length_b 7.3156
_cell_length_c 7.0209
_cell_angle_alpha 90.00
_cell_angle_beta 106.17
_cell_angle_gamma 90.00
loop_
_atom_site_label
_atom_site_type_symbol
_atom_site_fract_x
_atom_site_fract_y
_atom_site_fract_z
_atom_site_occupancy
Dy1 Dy 0.2018 0.0000 0.1114 1
Te1 Te 0.1511 0.5000 0.2922 1
O1 O 0.0464 0.5000 0.7255 1
O2 O 0.1955 0.3148 0.1374 1
O3 O 0.2239 0.0000 0.4577 1
F1 F 0.0215 0.0000 0.8331 1
# ρ: 5.3 g cm⁻³
# VASP energy: -0.2321 hartree per atom
# Formation energy without anion corrections: -2.11 eV per atom
# DOS at the Fermi energy: 0.0000 states/eV per atom
# Spin magnetization: 0.22 μB per cell

=====

Record 5
# KHf2Bi2, relaxed, DFT PBE
data_KHf2Bi2
_space_group_name_H-M_alt 'P 4/m b m'
_space_group_IT_number 127
_space_group_name_Hall '-P 4 2ab'
_cell_length_a 9.1484
_cell_length_b 9.1484
_cell_length_c 3.3579
_cell_angle_alpha 90.00
_cell_angle_beta 90.00
_cell_angle_gamma 90.00
loop_
_atom_site_label
_atom_site_type_symbol
_atom_site_fract_x
_atom_site_fract_y
_atom_site_fract_z
_atom_site_occupancy
K1 K 0.0000 0.0000 0.0000 1
Hf1 Hf 0.1135 0.3865 0.0000 1
Bi1 Bi 0.1718 0.6718 0.5000 1
# ρ: 9.6 g cm⁻³
# VASP energy: -0.2073 hartree per atom
# DOS at the Fermi energy: 1.0296 states/eV per atom
# Excess energy over the best structure of this formula in the dataset: 18.0 kJ/mol of atoms
# Spin magnetization: 0.00 μB per cell

=====

Record 6
# LiPaIrPd, relaxed, DFT PBE
data_LiPaIrPd
_space_group_name_H-M_alt 'F -4 3 m'
_space_group_IT_number 216
_space_group_name_Hall 'F -4 2 3'
_cell_length_a 6.6255
_cell_length_b 6.6255
_cell_length_c 6.6255
_cell_angle_alpha 90.00
_cell_angle_beta 90.00
_cell_angle_gamma 90.00
loop_
_atom_site_label
_atom_site_type_symbol
_atom_site_fract_x
_atom_site_fract_y
_atom_site_fract_z
_atom_site_occupancy
Li1 Li 0.0000 0.0000 0.0000 1
Pa1 Pa 0.0000 0.0000 0.5000 1
Ir1 Ir 0.2500 0.2500 0.7500 1
Pd1 Pd 0.2500 0.2500 0.2500 1
# ρ: 12.3 g cm⁻³
# VASP energy: -0.2529 hartree per atom
# DOS at the Fermi energy: 1.1525 states/eV per atom
# Spin magnetization: 0.00 μB per cell

=====

Record 7
# PrY12Sc2, relaxed, DFT PBE
data_PrY12Sc2
_space_group_name_H-M_alt 'P 4/n b m'
_space_group_IT_number 125
_cell_length_a 6.3302
_cell_length_b 6.3302
_cell_length_c 25.4525
_cell_angle_alpha 90.00
_cell_angle_beta 90.00
_cell_angle_gamma 90.00
loop_
_space_group_symop_operation_xyz
'x,y,z'
'-x,-y,-z'
'-y+1/2,x,z'
'y+1/2,-x,-z'
'-x+1/2,-y+1/2,z'
'x+1/2,y+1/2,-z'
'y,-x+1/2,z'
'-y,x+1/2,-z'
'x,-y+1/2,-z'
'-x,y+1/2,z'
'-y+1/2,-x+1/2,-z'
'y+1/2,x+1/2,z'
'-x+1/2,y,-z'
'x+1/2,-y,z'
'y,x,-z'
'-y,-x,z'
loop_
_atom_site_label
_atom_site_type_symbol
_atom_site_fract_x
_atom_site_fract_y
_atom_site_fract_z
_atom_site_occupancy
Pr1 Pr 0.2500 0.7500 0.0000 1
Y1 Y 0.0681 0.5681 0.1177 1
Y2 Y 0.0805 0.5805 0.4391 1
Y3 Y 0.2500 0.2500 0.2182 1
Y4 Y 0.2500 0.2500 0.3385 1
Sc1 Sc 0.2500 0.7500 0.2761 1
# ρ: 4.2 g cm⁻³
# VASP energy: -0.2194 hartree per atom
# DOS at the Fermi energy: 1.4523 states/eV per atom
# Spin magnetization: 0.05 μB per cell

=====

Record 8
# CaY2ScO, relaxed, DFT PBE
data_CaY2ScO
_space_group_name_H-M_alt 'P 4/m m m'
_space_group_IT_number 123
_space_group_name_Hall '-P 4 2'
_cell_length_a 4.8199
_cell_length_b 4.8199
_cell_length_c 5.1598
_cell_angle_alpha 90.00
_cell_angle_beta 90.00
_cell_angle_gamma 90.00
loop_
_atom_site_label
_atom_site_type_symbol
_atom_site_fract_x
_atom_site_fract_y
_atom_site_fract_z
_atom_site_occupancy
Ca1 Ca 0.0000 0.0000 0.0000 1
Y1 Y 0.0000 0.5000 0.5000 1
Sc1 Sc 0.5000 0.5000 0.0000 1
O1 O 0.0000 0.0000 0.5000 1
# ρ: 3.9 g cm⁻³
# VASP energy: -0.2292 hartree per atom
# Formation energy without anion corrections: -0.99 eV per atom
# DOS at the Fermi energy: 1.3673 states/eV per atom
# Spin magnetization: 0.00 μB per cell

=====

Record 9
# PaCuS, relaxed, DFT PBE
data_PaCuS
_space_group_name_H-M_alt 'P 4/n m m'
_space_group_IT_number 129
_cell_length_a 3.4767
_cell_length_b 3.4767
_cell_length_c 9.2247
_cell_angle_alpha 90.00
_cell_angle_beta 90.00
_cell_angle_gamma 90.00
loop_
_space_group_symop_operation_xyz
'x,y,z'
'-x,-y,-z'
'-y+1/2,x,z'
'y+1/2,-x,-z'
'-x+1/2,-y+1/2,z'
'x+1/2,y+1/2,-z'
'y,-x+1/2,z'
'-y,x+1/2,-z'
'x+1/2,-y,-z'
'-x+1/2,y,z'
'-y,-x,-z'
'y,x,z'
'-x,y+1/2,-z'
'x,-y+1/2,z'
'y+1/2,x+1/2,-z'
'-y+1/2,-x+1/2,z'
loop_
_atom_site_label
_atom_site_type_symbol
_atom_site_fract_x
_atom_site_fract_y
_atom_site_fract_z
_atom_site_occupancy
Pa1 Pa 0.2500 0.2500 0.2375 1
Cu1 Cu 0.2500 0.2500 0.5594 1
S1 S 0.2500 0.2500 0.8971 1
# ρ: 9.7 g cm⁻³
# VASP energy: -0.2418 hartree per atom
# Formation energy without anion corrections: -0.67 eV per atom
# DOS at the Fermi energy: 1.1377 states/eV per atom
# Spin magnetization: 0.00 μB per cell

=====

Record 10
# AcPmEr2, relaxed, DFT PBE
data_AcPmEr2
_space_group_name_H-M_alt 'F m -3 m'
_space_group_IT_number 225
_space_group_name_Hall '-F 4 2 3'
_cell_length_a 8.2533
_cell_length_b 8.2533
_cell_length_c 8.2533
_cell_angle_alpha 90.00
_cell_angle_beta 90.00
_cell_angle_gamma 90.00
loop_
_atom_site_label
_atom_site_type_symbol
_atom_site_fract_x
_atom_site_fract_y
_atom_site_fract_z
_atom_site_occupancy
Ac1 Ac 0.0000 0.0000 0.0000 1
Pm1 Pm 0.0000 0.0000 0.5000 1
Er1 Er 0.2500 0.2500 0.2500 1
# ρ: 8.3 g cm⁻³
# VASP energy: -0.1612 hartree per atom
# DOS at the Fermi energy: 1.7248 states/eV per atom
# Excess energy over the best structure of this formula in the dataset: 5.6 kJ/mol of atoms
# Spin magnetization: 0.00 μB per cell

=====

Record 11
# AlTeAuN2, relaxed, DFT PBE
data_AlTeAuN2
_space_group_name_H-M_alt 'P 4/m m m'
_space_group_IT_number 123
_space_group_name_Hall '-P 4 2'
_cell_length_a 3.9851
_cell_length_b 3.9851
_cell_length_c 8.0850
_cell_angle_alpha 90.00
_cell_angle_beta 90.00
_cell_angle_gamma 90.00
loop_
_atom_site_label
_atom_site_type_symbol
_atom_site_fract_x
_atom_site_fract_y
_atom_site_fract_z
_atom_site_occupancy
Al1 Al 0.0000 0.0000 0.0000 1
Te1 Te 0.5000 0.5000 0.0000 1
Au1 Au 0.5000 0.5000 0.5000 1
N1 N 0.0000 0.5000 0.5000 1
# ρ: 4.9 g cm⁻³
# VASP energy: -0.1411 hartree per atom
# Formation energy without anion corrections: 1.52 eV per atom
# DOS at the Fermi energy: 0.2977 states/eV per atom
# Excess energy over the best structure of this formula in the dataset: 66.5 kJ/mol of atoms
# Spin magnetization: 3.14 μB per cell

=====

Record 12
# CaZn6Pt4, relaxed, DFT PBE
data_CaZn6Pt4
_space_group_name_H-M_alt 'I -4 2 m'
_space_group_IT_number 121
_space_group_name_Hall 'I -4 2'
_cell_length_a 6.6714
_cell_length_b 6.6714
_cell_length_c 9.4470
_cell_angle_alpha 90.00
_cell_angle_beta 90.00
_cell_angle_gamma 90.00
loop_
_atom_site_label
_atom_site_type_symbol
_atom_site_fract_x
_atom_site_fract_y
_atom_site_fract_z
_atom_site_occupancy
Ca1 Ca 0.0000 0.0000 0.0000 1
Zn1 Zn 0.0000 0.5000 0.0000 1
Zn2 Zn 0.1789 0.1789 0.3010 1
Pt1 Pt 0.1818 0.1818 0.5803 1
# ρ: 9.6 g cm⁻³
# VASP energy: -0.1290 hartree per atom
# DOS at the Fermi energy: 0.2309 states/eV per atom
# Spin magnetization: 0.00 μB per cell